# BeNiMoF2

An optimized crystal structure of BeNiMoF2 (PBE+U, Alexandria via LeMat-Bulk).

```
BeNiMoF2
1.0
3.4265 0.0000 0.0000
0.0000 3.4265 0.0000
0.0000 0.0000 7.0253
Be Ni Mo F
1 1 1 2
Cartesian
0.0000 0.0000 0.0000 Be
1.7133 1.7133 3.5127 Ni
0.0000 0.0000 3.5127 Mo
0.0000 1.7133 0.0000 F
1.7133 0.0000 0.0000 F
```

## Properties
- Space-group type: P4/mmm (123)
- Spin magnetization: 3.83 μB/f.u.
- Total energy: -19.43 eV/cell
- Crystal system: tetragonal